First-principles (GGA-PBEsol) data for a relaxed RbCu2SbH crystal, as listed in Alexandria.

Calculated total energy = -2.8092 eV per atom
V = 91 Å³ per cell
DOS at the Fermi energy = 0.59 states/eV/atom
Size of the total moment = 0.00 μB/f.u.

Lattice parameters (Å, degrees): 4.418 4.418 4.664 90.00 90.00 90.00
Positions (direct):
Rb  0.000  0.000  0.000
Cu  0.000  0.500  0.500
Cu  0.500  0.000  0.500
Sb  0.500  0.500  0.000
H  0.000  0.000  0.500

=====

First-principles (GGA-PBEsol) data for a relaxed CuReH2 crystal, as listed in Alexandria.

Calculated total energy = -5.6534 eV per atom
V = 66 Å³ per cell
DOS at the Fermi energy = 0.36 states/eV/atom
Size of the total moment = 0.00 μB/f.u.

Lattice parameters (Å, degrees): 4.742 4.742 4.742 126.86 126.86 78.48
Positions (direct):
Cu  0.000  0.000  0.000
Cu  0.750  0.250  0.500
Re  0.250  0.750  0.500
Re  0.500  0.500  0.000
H  0.108  0.625  0.983
H  0.375  0.358  0.483
H  0.642  0.125  0.017
H  0.875  0.892  0.517

=====

Question: Which of these has the highest calculated total energy?
Answer: RbCu2SbH

=====

Question: What is the DOS at the Fermi energy in the second record?
Answer: 0.36 states/eV/atom

=====

Repeat the second record exactly.
First-principles (GGA-PBEsol) data for a relaxed CuReH2 crystal, as listed in Alexandria.

Calculated total energy = -5.6534 eV per atom
V = 66 Å³ per cell
DOS at the Fermi energy = 0.36 states/eV/atom
Size of the total moment = 0.00 μB/f.u.

Lattice parameters (Å, degrees): 4.742 4.742 4.742 126.86 126.86 78.48
Positions (direct):
Cu  0.000  0.000  0.000
Cu  0.750  0.250  0.500
Re  0.250  0.750  0.500
Re  0.500  0.500  0.000
H  0.108  0.625  0.983
H  0.375  0.358  0.483
H  0.642  0.125  0.017
H  0.875  0.892  0.517